Entry 1:
Entry from Alexandria: TiPtRh2 after structural relaxation (PBE).

a b c (Å): 3.793 3.793 9.375
angles (deg): 78.33 78.33 90.00
Atoms (fractional coordinates):
Rh (0.623, 0.125, 0.250)
Rh (0.875, 0.873, 0.750)
Rh (0.375, 0.377, 0.750)
Rh (0.127, 0.625, 0.250)
Pt (0.750, 0.250, 0.500)
Pt (0.000, 0.000, 0.000)
Ti (0.500, 0.500, 0.000)
Ti (0.250, 0.750, 0.500)

## Properties
ρ ... 11.53 g/cm³
Raw total energy ... -7.3824 eV per atom
Energy of formation from the pure elements ... -0.223 eV/atom
DOS at the Fermi energy ... 1.02 states/eV per atom

=====

Entry 2:
Entry from Alexandria: TiPt7Rh4 after structural relaxation (PBE).

a b c (Å): 4.898 7.417 7.078
angles (deg): 80.36 49.06 91.86
Atoms (fractional coordinates):
Pt (0.054, 0.657, 0.189)
Pt (0.946, 0.343, 0.811)
Pt (0.500, 0.595, 0.713)
Pt (0.500, 0.000, 0.000)
Pt (0.216, 0.055, 0.538)
Pt (0.500, 0.405, 0.287)
Pt (0.784, 0.945, 0.462)
Rh (0.365, 0.737, 0.388)
Rh (0.635, 0.263, 0.612)
Rh (0.832, 0.699, 0.892)
Rh (0.168, 0.301, 0.108)
Ti (0.000, 0.000, 0.000)

## Properties
ρ ... 16.12 g/cm³
Raw total energy ... -6.7523 eV per atom
Energy of formation from the pure elements ... -0.120 eV/atom
DOS at the Fermi energy ... 1.26 states/eV per atom

=====

Entry 3:
Entry from Alexandria: Ti2Pt7Rh after structural relaxation (PBE).

a b c (Å): 3.823 7.814 7.814
angles (deg): 125.18 90.00 90.00
Atoms (fractional coordinates):
Pt (0.500, 0.295, 0.089)
Pt (0.000, 0.805, 0.195)
Pt (0.500, 0.089, 0.295)
Pt (0.500, 0.705, 0.911)
Pt (0.000, 0.195, 0.805)
Pt (0.500, 0.500, 0.500)
Pt (0.500, 0.911, 0.705)
Rh (0.000, 0.000, 0.000)
Ti (0.500, 0.311, 0.689)
Ti (0.500, 0.689, 0.311)

## Properties
ρ ... 13.62 g/cm³
Raw total energy ... -6.5780 eV per atom
Energy of formation from the pure elements ... -0.035 eV/atom
DOS at the Fermi energy ... 0.89 states/eV per atom

=====

Entry 4:
Entry from Alexandria: TiPtRh5W2 after structural relaxation (PBE).

a b c (Å): 7.358 7.358 7.565
angles (deg): 119.10 119.10 90.00
Atoms (fractional coordinates):
W (0.615, 0.115, 0.000)
W (0.385, 0.885, 0.000)
W (0.115, 0.385, 0.000)
W (0.885, 0.615, 0.000)
Rh (0.575, 0.663, 0.738)
Rh (0.663, 0.163, 0.738)
Rh (0.075, 0.575, 0.738)
Rh (0.000, 0.000, 0.000)
Rh (0.163, 0.075, 0.738)
Rh (0.837, 0.925, 0.262)
Rh (0.425, 0.337, 0.262)
Rh (0.337, 0.837, 0.262)
Rh (0.925, 0.425, 0.262)
Rh (0.500, 0.500, 0.000)
Ti (0.250, 0.250, 0.500)
Ti (0.750, 0.750, 0.500)
Pt (0.250, 0.750, 0.500)
Pt (0.750, 0.250, 0.500)

## Properties
ρ ... 12.57 g/cm³
Raw total energy ... -8.2625 eV per atom
Energy of formation from the pure elements ... 0.248 eV/atom
DOS at the Fermi energy ... 1.23 states/eV per atom

=====

Entry 5:
Entry from Alexandria: Ti5Pt2Rh2W after structural relaxation (PBE).

a b c (Å): 2.914 10.782 10.782
angles (deg): 90.00 90.00 90.00
Atoms (fractional coordinates):
W (0.000, 0.500, 0.500)
W (0.000, 0.000, 0.000)
Ti (0.500, 0.861, 0.156)
Ti (0.500, 0.639, 0.656)
Ti (0.500, 0.139, 0.844)
Ti (0.500, 0.156, 0.139)
Ti (0.500, 0.844, 0.861)
Ti (0.500, 0.000, 0.500)
Ti (0.500, 0.361, 0.344)
Ti (0.500, 0.656, 0.361)
Ti (0.500, 0.344, 0.639)
Ti (0.500, 0.500, 0.000)
Rh (0.000, 0.857, 0.357)
Rh (0.000, 0.357, 0.143)
Rh (0.000, 0.143, 0.643)
Rh (0.000, 0.643, 0.857)
Pt (0.000, 0.849, 0.651)
Pt (0.000, 0.151, 0.349)
Pt (0.000, 0.349, 0.849)
Pt (0.000, 0.651, 0.151)

## Properties
ρ ... 9.99 g/cm³
Raw total energy ... -8.2902 eV per atom
Energy of formation from the pure elements ... -0.369 eV/atom
DOS at the Fermi energy ... 0.84 states/eV per atom

=====

Entry 6:
Entry from Alexandria: Ti2ZnPt5Rh after structural relaxation (PBE).

a b c (Å): 7.485 7.485 7.538
angles (deg): 119.77 119.77 90.00
Atoms (fractional coordinates):
Pt (0.500, 0.500, 0.000)
Pt (0.423, 0.335, 0.258)
Pt (0.000, 0.000, 0.000)
Pt (0.665, 0.165, 0.742)
Pt (0.923, 0.423, 0.258)
Pt (0.835, 0.923, 0.258)
Pt (0.577, 0.665, 0.742)
Pt (0.335, 0.835, 0.258)
Pt (0.165, 0.077, 0.742)
Pt (0.077, 0.577, 0.742)
Ti (0.610, 0.110, 0.000)
Ti (0.890, 0.610, 0.000)
Ti (0.390, 0.890, 0.000)
Ti (0.110, 0.390, 0.000)
Rh (0.750, 0.250, 0.500)
Rh (0.250, 0.750, 0.500)
Zn (0.750, 0.750, 0.500)
Zn (0.250, 0.250, 0.500)

## Properties
ρ ... 13.69 g/cm³
Raw total energy ... -6.2422 eV per atom
Energy of formation from the pure elements ... -0.173 eV/atom
DOS at the Fermi energy ... 0.89 states/eV per atom

=====

Entry 7:
Entry from Alexandria: TiZnPtRh after structural relaxation (PBE).

a b c (Å): 4.066 4.066 4.561
angles (deg): 116.46 116.47 90.00
Atoms (fractional coordinates):
Zn (0.250, 0.750, 0.500)
Pt (0.000, 0.000, 0.000)
Ti (0.750, 0.250, 0.500)
Rh (0.500, 0.500, 0.000)

## Properties
ρ ... 11.67 g/cm³
Raw total energy ... -6.4475 eV per atom
Energy of formation from the pure elements ... -0.807 eV/atom
DOS at the Fermi energy ... 0.38 states/eV per atom

=====

Entry 8:
Entry from Alexandria: ZrTiPtRh after structural relaxation (PBE).

a b c (Å): 4.591 4.591 4.591
angles (deg): 60.00 60.00 60.00
Atoms (fractional coordinates):
Ti (0.500, 0.500, 0.500)
Rh (0.750, 0.750, 0.750)
Zr (0.000, 0.000, 0.000)
Pt (0.250, 0.250, 0.250)

## Properties
ρ ... 10.60 g/cm³
Raw total energy ... -8.2217 eV per atom
Energy of formation from the pure elements ... -0.763 eV/atom
DOS at the Fermi energy ... 1.18 states/eV per atom

=====

Entry 9:
Entry from Alexandria: TlPt2Rh after structural relaxation (PBE).

a b c (Å): 5.585 5.585 5.585
angles (deg): 149.91 128.05 61.21
Atoms (fractional coordinates):
Tl (0.253, 0.753, 0.500)
Rh (0.503, 0.503, 0.000)
Pt (0.747, 0.247, 0.500)
Pt (0.997, 0.997, 0.000)

## Properties
ρ ... 16.99 g/cm³
Raw total energy ... -5.3131 eV per atom
Energy of formation from the pure elements ... 0.137 eV/atom
DOS at the Fermi energy ... 0.99 states/eV per atom

=====

Entry 10:
Entry from Alexandria: TlPt2Rh after structural relaxation (PBE).

a b c (Å): 5.633 5.633 5.633
angles (deg): 149.95 129.90 59.54
Atoms (fractional coordinates):
Rh (0.500, 0.000, 0.500)
Pt (0.742, 0.742, 0.000)
Pt (0.258, 0.258, 0.000)
Tl (0.000, 0.500, 0.500)

## Properties
ρ ... 17.00 g/cm³
Raw total energy ... -5.3346 eV per atom
Energy of formation from the pure elements ... 0.115 eV/atom
DOS at the Fermi energy ... 1.05 states/eV per atom

=====

Entry 11:
Entry from Alexandria: TlPtRh2 after structural relaxation (PBE).

a b c (Å): 4.884 4.884 4.875
angles (deg): 79.92 79.92 35.31
Atoms (fractional coordinates):
Pt (0.253, 0.253, 0.232)
Rh (0.002, 0.002, 0.997)
Rh (0.746, 0.746, 0.768)
Tl (0.498, 0.498, 0.503)

## Properties
ρ ... 15.21 g/cm³
Raw total energy ... -5.6636 eV per atom
Energy of formation from the pure elements ... 0.114 eV/atom
DOS at the Fermi energy ... 1.21 states/eV per atom
Relative energy among the computed polymorphs ... 37 meV/atom

=====

Entry 12:
Entry from Alexandria: Tl2PtRh after structural relaxation (PBE).

a b c (Å): 4.731 4.731 3.424
angles (deg): 90.00 90.00 97.23
Atoms (fractional coordinates):
Rh (0.000, 0.000, 0.500)
Tl (0.500, 0.000, 0.000)
Tl (0.000, 0.500, 0.000)
Pt (0.500, 0.500, 0.500)

## Properties
ρ ... 15.44 g/cm³
Raw total energy ... -4.4190 eV per atom
Energy of formation from the pure elements ... 0.112 eV/atom
DOS at the Fermi energy ... 0.43 states/eV per atom
Relative energy among the computed polymorphs ... 9 meV/atom